(1)
# SiNi2Ir | Alexandria via LeMat-Bulk | meta-GGA SCAN | PBEsol geometry
# **Energy relative to the elements, uncorrected**: -0.326 eV per atom
data_SiNi2Ir
_cell_length_a 3.6962
_cell_length_b 2.6997
_cell_length_c 9.4233
_cell_angle_alpha 90.00
_cell_angle_beta 90.00
_cell_angle_gamma 90.00
_space_group_name_H-M_alt 'A m m 2'
_space_group_IT_number 38
_space_group_name_Hall 'A 2 -2'
loop_
_atom_site_label
_atom_site_type_symbol
_atom_site_fract_x
_atom_site_fract_y
_atom_site_fract_z
Si1 Si 0.0000 0.0000 0.0000
Ni1 Ni 0.0000 0.0000 0.7382
Ni2 Ni 0.5000 0.0000 0.1372
Ir1 Ir 0.5000 0.0000 0.3984



(2)
# Rb3H12N5 | Alexandria via LeMat-Bulk | meta-GGA SCAN | PBEsol geometry
# **Final energy**: -7.920 eV/atom
data_Rb3H12N5
_cell_length_a 9.8019
_cell_length_b 9.8019
_cell_length_c 9.8019
_cell_angle_alpha 90.00
_cell_angle_beta 90.00
_cell_angle_gamma 90.00
_space_group_name_H-M_alt 'I 21 3'
_space_group_IT_number 199
_space_group_name_Hall 'I 2b 2c 3'
loop_
_atom_site_label
_atom_site_type_symbol
_atom_site_fract_x
_atom_site_fract_y
_atom_site_fract_z
Rb1 Rb 0.0000 0.2500 0.8263
H1 H 0.0133 0.0470 0.6281
H2 H 0.0634 0.1975 0.2641
N1 N 0.0000 0.2500 0.3302
N2 N 0.0754 0.4246 0.5754



(3)
# Sr8Li | Alexandria via LeMat-Bulk | meta-GGA SCAN | PBEsol geometry
# **ΔH_f (0 K)**: 41 meV/atom
data_Sr8Li
_cell_length_a 12.4040
_cell_length_b 12.4040
_cell_length_c 5.7275
_cell_angle_alpha 90.00
_cell_angle_beta 90.00
_cell_angle_gamma 90.00
_space_group_name_H-M_alt 'I 4/m m m'
_space_group_IT_number 139
_space_group_name_Hall '-I 4 2'
loop_
_atom_site_label
_atom_site_type_symbol
_atom_site_fract_x
_atom_site_fract_y
_atom_site_fract_z
Sr1 Sr 0.0000 0.3298 0.0000
Sr2 Sr 0.1617 0.1617 0.5000
Li1 Li 0.0000 0.0000 0.0000



(4)
# BeCdHg2 | Alexandria via LeMat-Bulk | meta-GGA SCAN | PBEsol geometry
# **ΔH_f (0 K)**: 126 meV/atom
data_BeCdHg2
_cell_length_a 2.8325
_cell_length_b 4.2403
_cell_length_c 12.6100
_cell_angle_alpha 90.00
_cell_angle_beta 90.00
_cell_angle_gamma 90.00
_space_group_name_H-M_alt 'I m m 2'
_space_group_IT_number 44
_space_group_name_Hall 'I 2 -2'
loop_
_atom_site_label
_atom_site_type_symbol
_atom_site_fract_x
_atom_site_fract_y
_atom_site_fract_z
Be1 Be 0.0000 0.0000 0.0000
Cd1 Cd 0.0000 0.5000 0.6880
Hg1 Hg 0.0000 0.0000 0.5073
Hg2 Hg 0.0000 0.5000 0.3195



(5)
# BaNiOs | Alexandria via LeMat-Bulk | meta-GGA SCAN | PBEsol geometry
# **ΔH_f (0 K)**: 1394 meV/atom
data_BaNiOs
_cell_length_a 3.0008
_cell_length_b 3.0008
_cell_length_c 7.3736
_cell_angle_alpha 90.00
_cell_angle_beta 90.00
_cell_angle_gamma 120.00
_space_group_name_H-M_alt 'P 3 m 1'
_space_group_IT_number 156
_space_group_name_Hall 'P 3 -2"'
loop_
_atom_site_label
_atom_site_type_symbol
_atom_site_fract_x
_atom_site_fract_y
_atom_site_fract_z
Ba1 Ba 0.0000 0.0000 0.0000
Ni1 Ni 0.3333 0.6667 0.6227
Os1 Os 0.6667 0.3333 0.3877



(6)
# ZrRuS2Cl | Alexandria via LeMat-Bulk | meta-GGA SCAN | PBEsol geometry
# **Energy relative to the elements, uncorrected**: -0.078 eV per atom
data_ZrRuS2Cl
_cell_length_a 4.5425
_cell_length_b 4.5425
_cell_length_c 4.4633
_cell_angle_alpha 90.00
_cell_angle_beta 90.00
_cell_angle_gamma 90.00
_space_group_name_H-M_alt 'P 4/m m m'
_space_group_IT_number 123
_space_group_name_Hall '-P 4 2'
loop_
_atom_site_label
_atom_site_type_symbol
_atom_site_fract_x
_atom_site_fract_y
_atom_site_fract_z
Zr1 Zr 0.0000 0.0000 0.0000
Ru1 Ru 0.5000 0.5000 0.5000
S1 S 0.0000 0.5000 0.5000
Cl1 Cl 0.5000 0.5000 0.0000



(7)
# LiBi3P6O20 | Alexandria via LeMat-Bulk | meta-GGA SCAN | PBEsol geometry
# **Energy relative to the elements, uncorrected**: -2.118 eV per atom
data_LiBi3P6O20
_cell_length_a 13.2848
_cell_length_b 14.6626
_cell_length_c 10.5371
_cell_angle_alpha 90.00
_cell_angle_beta 90.00
_cell_angle_gamma 90.00
_space_group_name_H-M_alt 'A e a 2'
_space_group_IT_number 41
_space_group_name_Hall 'A 2 -2ab'
loop_
_atom_site_label
_atom_site_type_symbol
_atom_site_fract_x
_atom_site_fract_y
_atom_site_fract_z
Li1 Li 0.0000 0.0000 0.0000
Bi1 Bi 0.0000 0.0000 0.2981
Bi2 Bi 0.2260 0.2070 0.4463
P1 P 0.0412 0.3052 0.9953
P2 P 0.1967 0.3618 0.1745
P3 P 0.2034 0.0445 0.1796
O1 O 0.0598 0.3803 0.8967
O2 O 0.0680 0.2137 0.5232
O3 O 0.0836 0.3474 0.1290
O4 O 0.1014 0.2196 0.9653
O5 O 0.1117 0.0095 0.1051
O6 O 0.1709 0.0541 0.3200
O7 O 0.2033 0.3317 0.3099
O8 O 0.2068 0.4705 0.1701
O9 O 0.2299 0.3236 0.5788
O10 O 0.2483 0.1315 0.6328



(8)
# RbMg3Pt | Alexandria via LeMat-Bulk | meta-GGA SCAN | PBEsol geometry
# **ΔH_f (0 K)**: -413 meV/atom
data_RbMg3Pt
_cell_length_a 5.1701
_cell_length_b 5.1701
_cell_length_c 5.1701
_cell_angle_alpha 90.00
_cell_angle_beta 90.00
_cell_angle_gamma 90.00
_space_group_name_H-M_alt 'P m -3 m'
_space_group_IT_number 221
_space_group_name_Hall '-P 4 2 3'
loop_
_atom_site_label
_atom_site_type_symbol
_atom_site_fract_x
_atom_site_fract_y
_atom_site_fract_z
Rb1 Rb 0.0000 0.0000 0.0000
Mg1 Mg 0.0000 0.5000 0.5000
Pt1 Pt 0.5000 0.5000 0.5000



(9)
# Rb2BePd | Alexandria via LeMat-Bulk | meta-GGA SCAN | PBEsol geometry
# **ΔH_f (0 K)**: 1019 meV/atom
data_Rb2BePd
_cell_length_a 4.2514
_cell_length_b 4.2514
_cell_length_c 22.4492
_cell_angle_alpha 90.00
_cell_angle_beta 90.00
_cell_angle_gamma 90.00
_space_group_name_H-M_alt 'I -4 2 d'
_space_group_IT_number 122
_space_group_name_Hall 'I -4 2bw'
loop_
_atom_site_label
_atom_site_type_symbol
_atom_site_fract_x
_atom_site_fract_y
_atom_site_fract_z
Rb1 Rb 0.2483 0.2500 0.1250
Be1 Be 0.0000 0.0000 0.5000
Pd1 Pd 0.0000 0.0000 0.0000



(10)
# MgTa2W | Alexandria via LeMat-Bulk | meta-GGA SCAN | PBEsol geometry
# **ΔH_f (0 K)**: 419 meV/atom
data_MgTa2W
_cell_length_a 6.5011
_cell_length_b 6.5011
_cell_length_c 6.5011
_cell_angle_alpha 90.00
_cell_angle_beta 90.00
_cell_angle_gamma 90.00
_space_group_name_H-M_alt 'F -4 3 m'
_space_group_IT_number 216
_space_group_name_Hall 'F -4 2 3'
loop_
_atom_site_label
_atom_site_type_symbol
_atom_site_fract_x
_atom_site_fract_y
_atom_site_fract_z
Mg1 Mg 0.0000 0.0000 0.0000
Ta1 Ta 0.0000 0.0000 0.5000
Ta2 Ta 0.2500 0.2500 0.7500
W1 W 0.2500 0.2500 0.2500



(11)
# ScTlRu2 | Alexandria via LeMat-Bulk | meta-GGA SCAN | PBEsol geometry
# **ΔH_f (0 K)**: -93 meV/atom
data_ScTlRu2
_cell_length_a 4.4418
_cell_length_b 4.4418
_cell_length_c 3.3095
_cell_angle_alpha 90.00
_cell_angle_beta 90.00
_cell_angle_gamma 90.00
_space_group_name_H-M_alt 'P 4/m m m'
_space_group_IT_number 123
_space_group_name_Hall '-P 4 2'
loop_
_atom_site_label
_atom_site_type_symbol
_atom_site_fract_x
_atom_site_fract_y
_atom_site_fract_z
Sc1 Sc 0.0000 0.0000 0.0000
Tl1 Tl 0.5000 0.5000 0.0000
Ru1 Ru 0.0000 0.5000 0.5000



(12)
# LaAl2Pd | Alexandria via LeMat-Bulk | meta-GGA SCAN | PBEsol geometry
# **ΔH_f (0 K)**: -468 meV/atom
data_LaAl2Pd
_cell_length_a 4.8417
_cell_length_b 4.8417
_cell_length_c 16.8673
_cell_angle_alpha 90.00
_cell_angle_beta 90.00
_cell_angle_gamma 90.00
_space_group_name_H-M_alt 'I -4 2 d'
_space_group_IT_number 122
_space_group_name_Hall 'I -4 2bw'
loop_
_atom_site_label
_atom_site_type_symbol
_atom_site_fract_x
_atom_site_fract_y
_atom_site_fract_z
La1 La 0.0000 0.0000 0.0000
Al1 Al 0.0439 0.2500 0.6250
Pd1 Pd 0.0000 0.0000 0.5000



Number 6 is which compound?
ZrRuS2Cl